1.
Here is crystalline Sr2PmThSe4 at its relaxed geometry from the Alexandria database. Energies are from PBE.

a = 7.3559 Å, b = 4.2398 Å, c = 7.6272 Å
α = 90.00°, β = 108.64°, γ = 90.00°
Fractional positions:
Sr 0.0000 0.0000 0.0000
Sr 0.5000 0.5000 0.0000
Pm 0.0000 0.5000 0.5000
Th 0.5000 0.0000 0.5000
Se 0.2472 0.0000 0.7400
Se 0.2528 0.5000 0.2581
Se 0.7472 0.5000 0.7419
Se 0.7528 0.0000 0.2600

Values from the calculation:
D(E_F) ... 4.4 states/eV/f.u.
Raw formation energy ... -1807 meV/atom

2.
Here is crystalline SrPm2Tl3Se6 at its relaxed geometry from the Alexandria database. Energies are from PBE.

a = 7.5702 Å, b = 7.5702 Å, c = 7.9147 Å
α = 99.19°, β = 99.19°, γ = 119.94°
Fractional positions:
Sr 0.0000 0.0000 0.0000
Pm 0.3323 0.6677 0.0000
Pm 0.6677 0.3323 0.0000
Tl 0.1638 0.8362 0.5000
Tl 0.5000 0.5000 0.5000
Tl 0.8362 0.1638 0.5000
Se 0.0739 0.4231 0.2199
Se 0.2783 0.2783 0.7848
Se 0.4231 0.0739 0.2199
Se 0.5769 0.9261 0.7801
Se 0.7217 0.7217 0.2152
Se 0.9261 0.5769 0.7801

Values from the calculation:
D(E_F) ... 5.3 states/eV/f.u.
Raw formation energy ... -1279 meV/atom

3.
Here is crystalline Sr2PmUSe6 at its relaxed geometry from the Alexandria database. Energies are from PBE.

a = 7.2433 Å, b = 7.8668 Å, c = 12.8700 Å
α = 90.00°, β = 124.01°, γ = 90.00°
Fractional positions:
Sr 0.2166 0.0905 0.2497
Sr 0.2166 0.4095 0.7497
Sr 0.7834 0.5905 0.2503
Sr 0.7834 0.9095 0.7503
Pm 0.5000 0.0000 0.0000
Pm 0.5000 0.5000 0.5000
U 0.0000 0.0000 0.5000
U 0.0000 0.5000 0.0000
Se 0.1091 0.1988 0.9344
Se 0.1091 0.3012 0.4344
Se 0.2451 0.6842 0.9370
Se 0.2451 0.8158 0.4370
Se 0.3657 0.0377 0.7419
Se 0.3657 0.4623 0.2419
Se 0.6343 0.5377 0.7581
Se 0.6343 0.9623 0.2581
Se 0.7549 0.1842 0.5630
Se 0.7549 0.3158 0.0630
Se 0.8909 0.6988 0.5656
Se 0.8909 0.8012 0.0656

Values from the calculation:
D(E_F) ... 0.4 states/eV/f.u.
Raw formation energy ... -1659 meV/atom

4.
Here is crystalline Sr3Pm2YSe6 at its relaxed geometry from the Alexandria database. Energies are from PBE.

a = 7.3625 Å, b = 7.3625 Å, c = 7.5270 Å
α = 99.41°, β = 99.41°, γ = 119.94°
Fractional positions:
Sr 0.0000 0.0000 0.0000
Sr 0.3316 0.6684 0.0000
Sr 0.6684 0.3316 0.0000
Pm 0.1660 0.8340 0.5000
Pm 0.8340 0.1660 0.5000
Y 0.5000 0.5000 0.5000
Se 0.0940 0.4216 0.2641
Se 0.2519 0.2519 0.7373
Se 0.4216 0.0940 0.2641
Se 0.5784 0.9060 0.7359
Se 0.7481 0.7481 0.2627
Se 0.9060 0.5784 0.7359

Values from the calculation:
D(E_F) ... 4.7 states/eV/f.u.
Raw formation energy ... -1910 meV/atom